Entry from Alexandria via LeMat-Bulk: an optimized crystal structure of RbCaCoO3 (GGA+U).

Lattice parameters (Å, degrees): 6.744 6.744 7.799 104.41 104.41 32.75
Sites, in units of the cell vectors:
Rb1 0.145 0.145 0.066
Rb2 0.855 0.855 0.934
Ca1 0.154 0.154 0.573
Ca2 0.846 0.846 0.427
Co1 0.493 0.493 0.700
Co2 0.507 0.507 0.300
O1 0.007 0.007 0.307
O2 0.345 0.345 0.629
O3 0.362 0.362 0.236
O4 0.638 0.638 0.764
O5 0.655 0.655 0.371
O6 0.993 0.993 0.693

Results
Total moment in μB/atom: 0.474
VASP energy in eV for the cell shown: -66.3
Fermi-level density of states in states/eV per atom: 0.1674